Density functional theory data (PBE) for crystalline ErPu2ThTe5 at its relaxed geometry.

a = 5.4582 Å, b = 5.4582 Å, c = 11.7650 Å
α = 90.00°, β = 90.00°, γ = 90.00°
With the nearest neighbours (Å) after each atom.
Space group P4/mmm (No. 123)
One atom of each set of equivalent atoms:
Er1 0.0000 0.0000 0.0000  6 Te 2.73-2.96
Pu1 0.5000 0.5000 0.1694  4 Te 3.38
Th1 0.0000 0.0000 0.5000  2 Te 2.92
Te1 0.0000 0.0000 0.2519  1 Th 2.92, 1 Er 2.96
Te2 0.0000 0.5000 0.0000  2 Er 2.73
Te3 0.5000 0.5000 0.5000  4 Th 3.86, 2 Pu 3.89

**Total DFT energy (no corrections)**: -6.847 eV/atom
**Uncorrected formation energy**: -0.5853 eV/atom
**Mass density**: 7.23 Mg/m³
**Calculated volume**: 350.5 Å³/f.u.

Density functional theory data (PBE) for crystalline Er3Pu2ThTe6 at its relaxed geometry.

a = 19.2091 Å, b = 4.3218 Å, c = 8.8733 Å
α = 90.00°, β = 104.69°, γ = 90.00°
With the nearest neighbours (Å) after each atom.
Space group C2/m (No. 12)
One atom of each set of equivalent atoms:
Er1 0.0000 0.0000 0.0000  6 Te 3.03-3.08
Er2 0.1654 0.5000 0.3327  6 Te 3.03-3.07
Pu1 0.1651 0.5000 0.8299  6 Te 3.11-3.15
Th1 0.0000 0.0000 0.5000  6 Te 3.17
Te1 0.0022 0.5000 0.2399  3 Er 3.03, 1 Pu 3.11, 2 Th 3.17
Te2 0.1656 0.0000 0.0870  3 Er 3.07-3.08, 3 Pu 3.14-3.15
Te3 0.1707 0.0000 0.5787  3 Er 3.04-3.05, 2 Pu 3.13, 1 Th 3.17

**Total DFT energy (no corrections)**: -6.875 eV/atom
**Uncorrected formation energy**: -1.1569 eV/atom
**Mass density**: 9.26 Mg/m³
**Calculated volume**: 356.3 Å³/f.u.